# Pr6CuRu2I3

A geometry-optimized Pr6CuRu2I3 structure (PBE, Alexandria).

Cell: 7.2883 7.2883 8.5960 Å, 98.12 98.12 119.99°
Last column: nearest neighbours and their distance in Å.
Positions (direct):
Pr 0.0900 0.4375 0.8128  2 Ru 2.84, 1 Cu 2.97
Pr 0.2146 0.2146 0.1866  2 Ru 2.83, 1 Cu 2.96
Pr 0.4375 0.0900 0.8128  2 Ru 2.84, 1 Cu 2.97
Pr 0.5625 0.9100 0.1872  2 Ru 2.84, 1 Cu 2.97
Pr 0.7854 0.7854 0.8134  2 Ru 2.83, 1 Cu 2.96
Pr 0.9100 0.5625 0.1872  2 Ru 2.84, 1 Cu 2.97
Cu 0.5000 0.5000 0.0000  6 Pr 2.96-2.97
Ru 0.1667 0.8333 0.0000  6 Pr 2.83-2.84
Ru 0.8333 0.1667 0.0000  6 Pr 2.83-2.84
I 0.0000 0.0000 0.5000  6 Pr 3.48-3.58
I 0.3336 0.6664 0.5000  6 Pr 3.48-3.58
I 0.6664 0.3336 0.5000  6 Pr 3.48-3.58

As for the space group: C2/m, No. 12. The value obtained for the density of states at the Fermi level is 0.26 states/eV/atom. As for the uncorrected formation energy: -0.65 eV per atom.